Arrangement 1

Sn2OF2: optimized geometry, GGA-PBE.

Properties
DOS at the Fermi energy   0.000 states/eV/atom
Total magnetic moment   0.00 μB per atom

Cell lengths 9.4038, 8.1359, 5.2315 Å; angles 90.00, 97.61, 90.00 degrees
Space group C2/m (No. 12)
Inequivalent atoms, fractional coordinates:
Sn 0.0000 0.2039 0.0000
Sn 0.2192 0.5000 0.5083
O 0.1086 0.0000 0.1943
F 0.1723 0.1848 0.7001

=====

Arrangement 2

Sn2OF2: optimized geometry, GGA-PBE.

Properties
DOS at the Fermi energy   0.000 states/eV/atom
Total magnetic moment   0.00 μB per atom

Cell lengths 5.0398, 4.1951, 9.0900 Å; angles 90.00, 96.56, 90.00 degrees
Space group P2_1/m (No. 11)
Inequivalent atoms, fractional coordinates:
Sn 0.1635 0.2500 0.1731
Sn 0.2453 0.2500 0.5878
O 0.0473 0.7500 0.6028
F 0.0013 0.7500 0.2266
F 0.1967 0.7500 0.9614

=====

Arrangement 3

Sn2OF2: optimized geometry, GGA-PBE.

Properties
DOS at the Fermi energy   0.000 states/eV/atom
Total magnetic moment   0.00 μB per atom

Cell lengths 11.7272, 4.5753, 8.5934 Å; angles 90.00, 120.71, 90.00 degrees
Space group C2/m (No. 12)
Inequivalent atoms, fractional coordinates:
Sn 0.0779 0.0000 0.3770
Sn 0.1918 0.5000 0.1275
O 0.1197 0.0000 0.6479
F 0.1443 0.5000 0.4282
F 0.2230 0.0000 0.0571

=====

How do the energies compare? Relative to the most stable structure, in eV/atom: arrangement 1 0.000; arrangement 2 0.063; arrangement 3 0.051.